Here is crystalline Na5MnO4 at its relaxed geometry from Alexandria via LeMat-Bulk. Energies are from PBE with a Hubbard U.

```
20
Lattice="7.8862 0.0000 0.0000 0.0000 6.0673 0.0000 0.0000 0.0000 5.8781" Properties=species:S:1:pos:R:3 pbc="T T T"
Na 0.0000 1.0743 0.0000
Na 1.4086 3.4668 1.7721
Na 1.5681 0.6456 2.8825
Na 2.3750 5.4217 5.8215
Na 2.5345 2.6004 4.7112
Na 3.9431 4.9930 2.9390
Na 5.3517 2.6004 4.7112
Na 5.5112 5.4217 5.8215
Na 6.3181 0.6456 2.8825
Na 6.4776 3.4668 1.7721
Mn 0.0000 4.0770 4.3683
Mn 3.9431 1.9903 1.4293
O 0.0000 2.2553 3.6667
O 0.0000 4.7594 0.2928
O 1.7730 4.5955 3.7791
O 2.1701 1.4718 0.8401
O 3.9431 1.3079 3.2318
O 3.9431 3.8120 0.7277
O 5.7161 1.4718 0.8401
O 6.1132 4.5955 3.7791
```

Output
Polymorph energy (0 for the lowest one) = 0 meV/atom
Total moment = 8.000 μB per cell
Theoretical density = 2.76 g/cm³
Crystal system = orthorhombic